DFT (PBE with a Hubbard U) results for an optimized crystal structure of SmCoPtO6.

Geometry as POSCAR:
```
SmCoPtO6
1.0
-0.512 3.938 -2.791
1.422 -2.559 -3.872
-9.238 -2.455 -1.771
Sm Co Pt O
2 2 2 12
Direct
0.500 0.500 0.506
0.000 0.000 0.006
0.500 0.500 0.162
0.000 0.000 0.662
0.500 0.500 0.832
0.000 0.000 0.332
0.174 0.826 0.493
0.826 0.174 0.493
0.326 0.326 0.993
0.674 0.674 0.993
0.219 0.781 0.186
0.781 0.219 0.186
0.281 0.281 0.686
0.719 0.719 0.686
0.783 0.217 0.821
0.217 0.783 0.821
0.717 0.717 0.321
0.283 0.283 0.321
```

## Properties
N(E_F): 0.708 states/eV/atom
space group: P4_2nm, No. 102
E: -6.262 eV per atom
crystal system: tetragonal